(1)
DFT (PBE) results for a geometry-optimized Ce2ThGe2 structure.

```
10
Lattice="-1.5231 -2.8325 -2.8740 -0.1163 -0.9262 4.2109 -15.1802 7.0209 1.1250" Properties=species:S:1:pos:R:3 pbc="T T T"
Th -11.3851 5.2657 0.8438
Th -3.7950 1.7552 0.2813
Ce -9.4150 1.6698 0.1072
Ce -1.3560 -1.2052 1.9064
Ce -15.4636 4.4673 0.5555
Ce -7.4046 1.5923 2.3546
Ge -10.3696 2.9636 2.5744
Ge -6.4499 0.2985 -0.1125
Ge -13.5711 4.4444 2.8117
Ge -3.2484 -1.1822 -0.3498
```

Summary:
DFT total energy = -30.9 eV/f.u.
SG = P6_3/mmc
excess energy over the best structure of this formula in the dataset = 0.174 eV per atom

(2)
DFT (PBE) results for a geometry-optimized MnCoW2 structure.

```
4
Lattice="-3.6849 0.2447 -2.8195 -4.2978 -1.5330 -0.8760 -2.4636 3.2145 2.1632" Properties=species:S:1:pos:R:3 pbc="T T T"
W -7.8404 1.3004 -1.2829
W -8.0002 -1.1727 -3.5954
Mn -2.4767 0.4657 -0.3550
Co -5.3347 1.0076 -0.7606
```

Summary:
DFT total energy = -41.5 eV/f.u.
SG = Cm
excess energy over the best structure of this formula in the dataset = 0.050 eV per atom

(3)
DFT (PBE) results for a geometry-optimized Ag3BiCl6 structure.

```
20
Lattice="7.0286 0.0000 -0.0950 0.0000 6.9433 0.0000 -0.0511 0.0000 10.6672" Properties=species:S:1:pos:R:3 pbc="T T T"
Cl 1.1517 2.2937 0.9155
Cl 5.8259 4.6495 9.6566
Cl 2.3371 5.7654 4.3705
Cl 2.3786 5.7315 0.6300
Cl 2.5991 4.2094 7.8067
Cl 4.6405 1.1779 6.2016
Cl 6.1389 6.2054 2.4256
Cl 1.1102 2.2598 4.6561
Cl 4.5990 1.2118 9.9422
Cl 4.3785 2.7338 2.7654
Cl 0.8386 0.7378 8.1466
Cl 5.8674 4.6834 5.9161
Ag 3.5143 3.4716 -0.0475
Ag 0.0086 3.2091 7.9045
Ag -0.0255 0.0000 5.3336
Ag 6.9689 3.7341 2.6676
Ag 3.5485 0.2625 2.5234
Ag 3.4290 6.6808 8.0487
Bi 0.0000 0.0000 0.0000
Bi 3.4888 3.4716 5.2861
```

Summary:
DFT total energy = -30.0 eV/f.u.
SG = P2_1/c
ΔE_f (raw) = -0.65 eV per atom

Question: What is the DFT total energy in the third record?
Answer: -30.0 eV/f.u.

Question: Number 2 is which compound?
Answer: MnCoW2